Below is crystalline Ba3Ga2MoO8 at its relaxed geometry, with properties calculated at the PBE+U level.

Properties
Symmetry: P-3m1, No. 164
Total energy in eV per cell: -89.7

The structure in extended XYZ format:
```
14
Lattice="5.829 0.000 0.000 -2.915 5.048 0.000 0.000 0.000 7.545" Properties=species:S:1:pos:R:3 pbc="T T T"
Ba 0.000 0.000 0.000
Ba 0.000 3.366 5.005
Ba 2.915 1.683 2.541
Ga 0.000 3.366 1.688
Ga 2.915 1.683 5.857
Mo 0.000 0.000 3.773
O 0.000 1.649 2.500
O -1.487 4.224 2.500
O 1.428 0.824 5.045
O 0.000 3.366 7.458
O 2.915 1.683 0.088
O 1.487 4.224 2.500
O 4.402 0.824 5.045
O 2.915 3.400 5.045
```


Below is crystalline Ba2GaMoO6 at its relaxed geometry, with properties calculated at the PBE+U level.

Properties
Symmetry: R-3m, No. 166
Fermi-level density of states in states/eV/f.u.: 2.39
Total energy in eV per cell: -131.5

The structure in extended XYZ format:
```
20
Lattice="2.947 1.702 9.596 -2.947 1.702 9.596 0.000 -3.403 9.596" Properties=species:S:1:pos:R:3 pbc="T T T"
Ba 0.000 0.000 3.608
Ba 0.000 0.000 8.195
Ba 0.000 0.000 20.594
Ba 0.000 0.000 25.180
Ga 0.000 0.000 11.611
Ga 0.000 0.000 17.177
Mo 0.000 0.000 0.000
Mo 0.000 0.000 14.394
O -1.347 -0.778 13.214
O 0.000 -1.708 10.795
O -1.479 0.854 10.795
O -1.479 -0.854 17.993
O 0.000 -1.555 15.574
O -1.347 0.778 15.574
O 1.347 -0.778 13.214
O 0.000 1.555 13.214
O 1.479 0.854 10.795
O 1.479 -0.854 17.993
O 0.000 1.708 17.993
O 1.347 0.778 15.574
```


Below is crystalline BaGaMoO4 at its relaxed geometry, with properties calculated at the PBE+U level.

Properties
Symmetry: F-43m, No. 216
Fermi-level density of states in states/eV/f.u.: 2.13
Total energy in eV per cell: -42.0

The structure in extended XYZ format:
```
7
Lattice="0.000 4.383 4.383 4.383 0.000 4.383 4.383 4.383 0.000" Properties=species:S:1:pos:R:3 pbc="T T T"
Ba 0.000 0.000 0.000
Ga 4.383 4.383 4.383
Mo 6.575 6.575 6.575
O 5.447 3.320 3.320
O 3.320 5.447 3.320
O 3.320 3.320 5.447
O 5.447 5.447 5.447
```


Below is crystalline BaGaMoO6 at its relaxed geometry, with properties calculated at the PBE+U level.

Properties
Symmetry: C2, No. 5
Fermi-level density of states in states/eV/f.u.: 0.80
Total energy in eV per cell: -58.0

The structure in extended XYZ format:
```
9
Lattice="2.697 -4.662 0.000 2.697 4.662 0.000 -0.074 0.000 5.576" Properties=species:S:1:pos:R:3 pbc="T T T"
Ba 0.000 0.000 0.000
Ga 2.660 1.725 2.788
Mo 2.660 -1.622 2.788
O 1.047 -1.770 3.878
O 2.180 0.059 1.792
O 3.140 0.059 3.785
O 1.666 -2.693 1.611
O 3.654 -2.693 3.965
O 4.273 -1.770 1.699
```


Below is crystalline BaGaMoO5 at its relaxed geometry, with properties calculated at the PBE+U level.

Properties
Symmetry: C2/c, No. 15
Total energy in eV per cell: -107.0

The structure in extended XYZ format:
```
16
Lattice="3.584 -4.781 0.000 3.584 4.781 0.000 -3.200 0.000 6.974" Properties=species:S:1:pos:R:3 pbc="T T T"
Ba 1.184 3.144 5.230
Ba 2.784 -3.144 1.743
Ga 2.784 2.934 1.743
Ga 1.184 -2.934 5.230
Mo 3.584 0.000 0.000
Mo 1.984 0.000 3.487
O -1.373 0.635 6.266
O 1.658 1.914 2.825
O 0.227 -0.635 2.779
O 3.909 1.914 0.662
O 1.184 0.465 5.230
O 2.784 -0.465 1.743
O 0.059 -1.914 6.312
O 3.741 0.635 4.194
O 2.309 -1.914 4.149
O 5.341 -0.635 0.707
```


Below is crystalline BaGaMo2O8 at its relaxed geometry, with properties calculated at the PBE+U level.

Properties
Symmetry: P-3m1, No. 164
Fermi-level density of states in states/eV/f.u.: 5.80
Total energy in eV per cell: -80.7

The structure in extended XYZ format:
```
12
Lattice="5.763 0.000 0.000 -2.881 4.991 0.000 0.000 0.000 7.234" Properties=species:S:1:pos:R:3 pbc="T T T"
Ba 0.000 0.000 0.000
Ga 0.000 0.000 3.617
Mo 0.000 3.327 5.350
Mo 2.881 1.664 1.884
O 0.000 1.556 4.859
O -1.534 4.213 4.859
O 1.347 0.778 2.375
O 0.000 3.327 7.135
O 2.881 1.664 0.099
O 1.534 4.213 4.859
O 4.416 0.778 2.375
O 2.881 3.435 2.375
```